(1)
Lu5NiPb3 after structural relaxation, computed with PBE.

The final energy is -4.847 eV per atom. Its calculated density is 11.24 g/cm3.

a b c (Å): 8.9917 8.9917 6.5618
angles (deg): 90.00 90.00 120.00
Space group P6_3/mcm (No. 193)
Inequivalent atoms, fractional coordinates:
Lu  0.0000  0.2364  0.2500 (multiplicity 6)
Lu  0.3333  0.6667  0.0000 (multiplicity 4)
Ni  0.0000  0.0000  0.0000 (multiplicity 2)
Pb  0.0000  0.3999  0.7500 (multiplicity 6)



(2)
LuNi2Pb after structural relaxation, computed with PBE.

The final energy is -4.830 eV per atom. Its calculated density is 11.69 g/cm3.

a b c (Å): 6.572 6.572 6.572
angles (deg): 90.00 90.00 90.00
Space group F-43m (No. 216)
Inequivalent atoms, fractional coordinates:
Lu  0.000  0.000  0.000 (multiplicity 4)
Ni  0.000  0.000  0.500 (multiplicity 4)
Ni  0.250  0.250  0.250 (multiplicity 4)
Pb  0.250  0.250  0.750 (multiplicity 4)



(3)
LuNiPdPb after structural relaxation, computed with PBE.

The final energy is -5.223 eV per atom. Its calculated density is 12.21 g/cm3.

a b c (Å): 6.678 6.678 6.678
angles (deg): 90.00 90.00 90.00
Space group F-43m (No. 216)
Inequivalent atoms, fractional coordinates:
Lu  0.000  0.000  0.000 (multiplicity 4)
Ni  0.250  0.250  0.750 (multiplicity 4)
Pd  0.250  0.250  0.250 (multiplicity 4)
Pb  0.000  0.000  0.500 (multiplicity 4)



(4)
LuNiPdPb after structural relaxation, computed with PBE.

The final energy is -4.991 eV per atom. Its calculated density is 12.02 g/cm3.

a b c (Å): 6.712 6.712 6.712
angles (deg): 90.00 90.00 90.00
Space group F-43m (No. 216)
Inequivalent atoms, fractional coordinates:
Lu  0.000  0.000  0.000 (multiplicity 4)
Ni  0.000  0.000  0.500 (multiplicity 4)
Pd  0.250  0.250  0.750 (multiplicity 4)
Pb  0.250  0.250  0.250 (multiplicity 4)



(5)
LuReNiPb after structural relaxation, computed with PBE.

The final energy is -5.905 eV per atom. Its calculated density is 13.83 g/cm3.

a b c (Å): 6.703 6.703 6.703
angles (deg): 90.00 90.00 90.00
Space group F-43m (No. 216)
Inequivalent atoms, fractional coordinates:
Lu  0.000  0.000  0.000 (multiplicity 4)
Re  0.250  0.250  0.750 (multiplicity 4)
Ni  0.000  0.000  0.500 (multiplicity 4)
Pb  0.250  0.250  0.250 (multiplicity 4)



(6)
LuScNiPb after structural relaxation, computed with PBE.

The final energy is -5.027 eV per atom. Its calculated density is 9.57 g/cm3.

a b c (Å): 6.961 6.961 6.961
angles (deg): 90.00 90.00 90.00
Space group F-43m (No. 216)
Inequivalent atoms, fractional coordinates:
Lu  0.000  0.000  0.000 (multiplicity 4)
Sc  0.250  0.250  0.250 (multiplicity 4)
Ni  0.250  0.250  0.750 (multiplicity 4)
Pb  0.000  0.000  0.500 (multiplicity 4)



(7)
YLuNiPb after structural relaxation, computed with PBE.

The final energy is -4.973 eV per atom. Its calculated density is 9.38 g/cm3.

a b c (Å): 7.212 7.212 7.212
angles (deg): 90.00 90.00 90.00
Space group F-43m (No. 216)
Inequivalent atoms, fractional coordinates:
Y  0.000  0.000  0.000 (multiplicity 4)
Lu  0.250  0.250  0.250 (multiplicity 4)
Ni  0.250  0.250  0.750 (multiplicity 4)
Pb  0.000  0.000  0.500 (multiplicity 4)



(8)
LuZnNiPb after structural relaxation, computed with PBE.

The final energy is -3.825 eV per atom. Its calculated density is 10.92 g/cm3.

a b c (Å): 6.753 6.753 6.753
angles (deg): 90.00 90.00 90.00
Space group F-43m (No. 216)
Inequivalent atoms, fractional coordinates:
Lu  0.000  0.000  0.000 (multiplicity 4)
Zn  0.250  0.250  0.750 (multiplicity 4)
Ni  0.000  0.000  0.500 (multiplicity 4)
Pb  0.250  0.250  0.250 (multiplicity 4)



final energy of number 5 (LuReNiPb)?
-5.905 eV per atom